[1]
The following is a DFT calculation (PBE-GGA) of an optimized crystal structure of HfZnCl6.

excess energy over the best structure of this formula in the dataset	45	meV per atom
final energy	-0.3135	Ry per atom

a b c (Å): 6.3329 6.3329 16.9768
angles (deg): 90.00 90.00 120.00
Space group R-3 (No. 148, hexagonal axes)
Inequivalent atoms, fractional coordinates:
Hf 0.0000 0.0000 0.0000 (multiplicity 3)
Zn 0.0000 0.0000 0.5000 (multiplicity 3)
Cl 0.0033 0.6444 0.7496 (multiplicity 18)


[2]
The following is a DFT calculation (PBE-GGA) of an optimized crystal structure of Cd8Hg3Au2.

final energy	-0.0877	Ry per atom

a b c (Å): 9.330 15.599 4.316
angles (deg): 90.00 90.00 90.00
Space group Cmmm (No. 65)
Inequivalent atoms, fractional coordinates:
Cd 0.000 0.122 0.000 (multiplicity 4)
Cd 0.000 0.357 0.000 (multiplicity 4)
Cd 0.246 0.356 0.500 (multiplicity 8)
Hg 0.000 0.500 0.500 (multiplicity 2)
Hg 0.244 0.000 0.000 (multiplicity 4)
Au 0.000 0.241 0.500 (multiplicity 4)


[3]
The following is a DFT calculation (PBE-GGA) of an optimized crystal structure of YFeAg2.

final energy	-0.3542	Ry per atom

a b c (Å): 3.1481 3.1481 27.6203
angles (deg): 90.00 90.00 120.00
Space group R3m (No. 160, hexagonal axes)
Inequivalent atoms, fractional coordinates:
Y 0.0000 0.0000 0.0000 (multiplicity 3)
Fe 0.0000 0.0000 0.7496 (multiplicity 3)
Ag 0.0000 0.0000 0.2398 (multiplicity 3)
Ag 0.0000 0.0000 0.4904 (multiplicity 3)


[4]
The following is a DFT calculation (PBE-GGA) of an optimized crystal structure of BaIr2Cl.

excess energy over the best structure of this formula in the dataset	957	meV per atom
final energy	-0.3485	Ry per atom

a b c (Å): 5.250 11.937 3.104
angles (deg): 90.00 90.00 90.00
Space group Cmmm (No. 65)
Inequivalent atoms, fractional coordinates:
Ba 0.000 0.000 0.000 (multiplicity 2)
Ir 0.250 0.250 0.500 (multiplicity 4)
Cl 0.000 0.500 0.000 (multiplicity 2)